1.
The following is a PBE-GGA calculation of a relaxed Sm5Er4In4 crystal, from the Alexandria database.

The total magnetic moment is 0.0 μB per formula unit. The calculation puts the formation energy at -312 meV per atom. The calculated density is 8.0 g/cm3.

The structure belongs to space group I4/m (No. 87); the cell edges are 12.374, 12.374 and 5.075 Å and the angles 90.00°, 90.00° and 90.00°. The distinct sites, in fractional coordinates, are Sm at (0.000, 0.000, 0.000), Sm at (0.099, 0.190, 0.500), Er at (0.095, 0.395, 0.000) and In at (0.103, 0.763, 0.000).


2.
The following is a PBE-GGA calculation of a relaxed Sm6Er2In crystal, from the Alexandria database.

The total magnetic moment is 0.0 μB per formula unit. The calculation puts the formation energy at -69 meV per atom. The calculated density is 7.9 g/cm3.

The structure belongs to space group P4_2/mnm (No. 136); the cell edges are 10.734, 10.734 and 4.948 Å and the angles 90.00°, 90.00° and 90.00°. The distinct sites, in fractional coordinates, are Sm at (0.002, 0.333, 0.000), Sm at (0.159, 0.159, 0.500), Er at (0.162, 0.838, 0.500) and In at (0.000, 0.000, 0.000).


3.
The following is a PBE-GGA calculation of a relaxed Sm3Er4In crystal, from the Alexandria database.

The total magnetic moment is 0.0 μB per formula unit. The calculation puts the formation energy at -113 meV per atom. The calculated density is 8.4 g/cm3.

The structure belongs to space group Pmn2_1 (No. 31); the cell edges are 11.214, 7.046 and 6.180 Å and the angles 90.00°, 90.00° and 90.00°. The distinct sites, in fractional coordinates, are Sm at (0.000, 0.128, 0.000), Sm at (0.239, 0.116, 0.345), Er at (0.000, 0.378, 0.538), Er at (0.000, 0.629, 0.018), Er at (0.240, 0.623, 0.362) and In at (0.000, 0.864, 0.524).


4.
The following is a PBE-GGA calculation of a relaxed Sm14ErIn crystal, from the Alexandria database.

The total magnetic moment is 0.0 μB per formula unit. The calculation puts the formation energy at -37 meV per atom. The calculated density is 7.6 g/cm3.

The structure belongs to space group P4/mmm (No. 123); the cell edges are 7.162, 7.162 and 10.184 Å and the angles 90.00°, 90.00° and 90.00°. The distinct sites, in fractional coordinates, are Sm at (0.000, 0.000, 0.000), Sm at (0.000, 0.500, 0.000), Sm at (0.000, 0.500, 0.500), Sm at (0.249, 0.249, 0.254), Sm at (0.500, 0.500, 0.000), Er at (0.500, 0.500, 0.500) and In at (0.000, 0.000, 0.500).